Record 1
This record from Alexandria describes a relaxed structure of MoPtRh2. The functional is PBEsol.

Energy of formation from the pure elements, meV/atom: -209
Total magnetic moment, μB per atom: 0.00
Distance to the lowest polymorph of the same formula, meV per atom: 33

Geometry as CIF:
```
data_MoPtRh2
_symmetry_space_group_name_H-M 'P m m m'
_symmetry_Int_Tables_number 47
_cell_length_a 2.708
_cell_length_b 3.829
_cell_length_c 5.476
_cell_angle_alpha 90.00
_cell_angle_beta 90.00
_cell_angle_gamma 90.00
loop_
_symmetry_equiv_pos_as_xyz
'x,y,z'
'-x,-y,-z'
'-x,-y,z'
'x,y,-z'
'x,-y,-z'
'-x,y,z'
'-x,y,-z'
'x,-y,z'
loop_
_atom_site_label
_atom_site_type_symbol
_atom_site_fract_x
_atom_site_fract_y
_atom_site_fract_z
_atom_site_occupancy
Mo1 Mo 0.000 0.000 0.000 1
Pt1 Pt 0.000 0.000 0.500 1
Rh1 Rh 0.500 0.500 0.244 1
```


Record 2
This record from Alexandria describes a relaxed structure of KGa3Fe. The functional is PBEsol.

Energy of formation from the pure elements, meV/atom: -182
Total magnetic moment, μB per atom: 0.00

Geometry as CIF:
```
data_KGa3Fe
_symmetry_space_group_name_H-M 'P m -3 m'
_symmetry_Int_Tables_number 221
_symmetry_space_group_name_Hall '-P 4 2 3'
_cell_length_a 4.610
_cell_length_b 4.610
_cell_length_c 4.610
_cell_angle_alpha 90.00
_cell_angle_beta 90.00
_cell_angle_gamma 90.00
loop_
_atom_site_label
_atom_site_type_symbol
_atom_site_fract_x
_atom_site_fract_y
_atom_site_fract_z
_atom_site_occupancy
K1 K 0.000 0.000 0.000 1
Ga1 Ga 0.000 0.500 0.500 1
Fe1 Fe 0.500 0.500 0.500 1
```


Record 3
This record from Alexandria describes a relaxed structure of Co2ReIrS. The functional is PBEsol.

Total energy, eV/atom: -7.707
Total magnetic moment, μB per atom: 0.83

Geometry as CIF:
```
data_Co2ReIrS
_symmetry_space_group_name_H-M 'P 4/m m m'
_symmetry_Int_Tables_number 123
_symmetry_space_group_name_Hall '-P 4 2'
_cell_length_a 3.989
_cell_length_b 3.989
_cell_length_c 4.397
_cell_angle_alpha 90.00
_cell_angle_beta 90.00
_cell_angle_gamma 90.00
loop_
_atom_site_label
_atom_site_type_symbol
_atom_site_fract_x
_atom_site_fract_y
_atom_site_fract_z
_atom_site_occupancy
Co1 Co 0.000 0.500 0.000 1
Re1 Re 0.000 0.000 0.500 1
Ir1 Ir 0.500 0.500 0.500 1
S1 S 0.500 0.500 0.000 1
```


Record 4
This record from Alexandria describes a relaxed structure of CaSbF5. The functional is PBEsol.

Total magnetic moment, μB per atom: 0.00
Distance to the lowest polymorph of the same formula, meV per atom: 0

Geometry as CIF:
```
data_CaSbF5
_symmetry_space_group_name_H-M 'P 1 21/c 1'
_symmetry_Int_Tables_number 14
_cell_length_a 6.028
_cell_length_b 10.766
_cell_length_c 7.860
_cell_angle_alpha 90.00
_cell_angle_beta 126.48
_cell_angle_gamma 90.00
loop_
_symmetry_equiv_pos_as_xyz
'x,y,z'
'-x,-y,-z'
'-x,y+1/2,-z+1/2'
'x,-y+1/2,z+1/2'
loop_
_atom_site_label
_atom_site_type_symbol
_atom_site_fract_x
_atom_site_fract_y
_atom_site_fract_z
_atom_site_occupancy
Ca1 Ca 0.009 0.015 0.253 1
Sb1 Sb 0.440 0.247 0.662 1
F1 F 0.162 0.095 0.060 1
F2 F 0.167 0.229 0.347 1
F3 F 0.179 0.087 0.600 1
F4 F 0.367 0.616 0.905 1
F5 F 0.382 0.629 0.430 1
```


Record 5
This record from Alexandria describes a relaxed structure of ZrInRu2. The functional is PBEsol.

Energy of formation from the pure elements, meV/atom: -335
Total magnetic moment, μB per atom: 0.00

Geometry as CIF:
```
data_ZrInRu2
_symmetry_space_group_name_H-M 'P 4/m m m'
_symmetry_Int_Tables_number 123
_symmetry_space_group_name_Hall '-P 4 2'
_cell_length_a 3.226
_cell_length_b 3.226
_cell_length_c 6.323
_cell_angle_alpha 90.00
_cell_angle_beta 90.00
_cell_angle_gamma 90.00
loop_
_atom_site_label
_atom_site_type_symbol
_atom_site_fract_x
_atom_site_fract_y
_atom_site_fract_z
_atom_site_occupancy
Zr1 Zr 0.000 0.000 0.000 1
In1 In 0.000 0.000 0.500 1
Ru1 Ru 0.500 0.500 0.247 1
```


Record 6
This record from Alexandria describes a relaxed structure of TiGa3W. The functional is PBEsol.

Energy of formation from the pure elements, meV/atom: 762
Total magnetic moment, μB per atom: 0.38

Geometry as CIF:
```
data_TiGa3W
_symmetry_space_group_name_H-M 'P m -3 m'
_symmetry_Int_Tables_number 221
_symmetry_space_group_name_Hall '-P 4 2 3'
_cell_length_a 4.772
_cell_length_b 4.772
_cell_length_c 4.772
_cell_angle_alpha 90.00
_cell_angle_beta 90.00
_cell_angle_gamma 90.00
loop_
_atom_site_label
_atom_site_type_symbol
_atom_site_fract_x
_atom_site_fract_y
_atom_site_fract_z
_atom_site_occupancy
Ti1 Ti 0.000 0.000 0.000 1
Ga1 Ga 0.000 0.500 0.500 1
W1 W 0.500 0.500 0.500 1
```


Record 7
This record from Alexandria describes a relaxed structure of Sm2InAg. The functional is PBEsol.

Energy of formation from the pure elements, meV/atom: -387
Total magnetic moment, μB per atom: 0.03

Geometry as CIF:
```
data_Sm2InAg
_symmetry_space_group_name_H-M 'F m -3 m'
_symmetry_Int_Tables_number 225
_symmetry_space_group_name_Hall '-F 4 2 3'
_cell_length_a 7.436
_cell_length_b 7.436
_cell_length_c 7.436
_cell_angle_alpha 90.00
_cell_angle_beta 90.00
_cell_angle_gamma 90.00
loop_
_atom_site_label
_atom_site_type_symbol
_atom_site_fract_x
_atom_site_fract_y
_atom_site_fract_z
_atom_site_occupancy
Sm1 Sm 0.250 0.250 0.250 1
In1 In 0.000 0.000 0.000 1
Ag1 Ag 0.000 0.000 0.500 1
```


Record 8
This record from Alexandria describes a relaxed structure of ZnPb3N. The functional is PBEsol.

Total energy, eV/atom: -3.060
Total magnetic moment, μB per atom: 0.34

Geometry as CIF:
```
data_ZnPb3N
_symmetry_space_group_name_H-M 'P m -3 m'
_symmetry_Int_Tables_number 221
_symmetry_space_group_name_Hall '-P 4 2 3'
_cell_length_a 5.259
_cell_length_b 5.259
_cell_length_c 5.259
_cell_angle_alpha 90.00
_cell_angle_beta 90.00
_cell_angle_gamma 90.00
loop_
_atom_site_label
_atom_site_type_symbol
_atom_site_fract_x
_atom_site_fract_y
_atom_site_fract_z
_atom_site_occupancy
Zn1 Zn 0.000 0.000 0.000 1
Pb1 Pb 0.000 0.000 0.500 1
N1 N 0.500 0.500 0.500 1
```


Record 9
This record from Alexandria describes a relaxed structure of GeIO2. The functional is PBEsol.

Total magnetic moment, μB per atom: 0.00
Distance to the lowest polymorph of the same formula, meV per atom: 1265

Geometry as CIF:
```
data_GeIO2
_symmetry_space_group_name_H-M 'F m -3 m'
_symmetry_Int_Tables_number 225
_symmetry_space_group_name_Hall '-F 4 2 3'
_cell_length_a 6.045
_cell_length_b 6.045
_cell_length_c 6.045
_cell_angle_alpha 90.00
_cell_angle_beta 90.00
_cell_angle_gamma 90.00
loop_
_atom_site_label
_atom_site_type_symbol
_atom_site_fract_x
_atom_site_fract_y
_atom_site_fract_z
_atom_site_occupancy
Ge1 Ge 0.000 0.000 0.000 1
I1 I 0.000 0.000 0.500 1
O1 O 0.250 0.250 0.250 1
```


Record 10
This record from Alexandria describes a relaxed structure of Li2POs. The functional is PBEsol.

Energy of formation from the pure elements, meV/atom: -13
Total magnetic moment, μB per atom: 0.00

Geometry as CIF:
```
data_Li2POs
_symmetry_space_group_name_H-M 'R -3 m'
_symmetry_Int_Tables_number 166
_symmetry_space_group_name_Hall '-R 3 2"'
_cell_length_a 2.6486
_cell_length_b 2.6486
_cell_length_c 25.7800
_cell_angle_alpha 90.00
_cell_angle_beta 90.00
_cell_angle_gamma 120.00
loop_
_atom_site_label
_atom_site_type_symbol
_atom_site_fract_x
_atom_site_fract_y
_atom_site_fract_z
_atom_site_occupancy
Li1 Li 0.0000 0.0000 0.2452 1
P1 P 0.0000 0.0000 0.5000 1
Os1 Os 0.0000 0.0000 0.0000 1
```


Record 11
This record from Alexandria describes a relaxed structure of Sc2PRh. The functional is PBEsol.

Energy of formation from the pure elements, meV/atom: -945
Total magnetic moment, μB per atom: 0.00

Geometry as CIF:
```
data_Sc2PRh
_symmetry_space_group_name_H-M 'I -4 m 2'
_symmetry_Int_Tables_number 119
_symmetry_space_group_name_Hall 'I -4 -2'
_cell_length_a 3.715
_cell_length_b 3.715
_cell_length_c 9.361
_cell_angle_alpha 90.00
_cell_angle_beta 90.00
_cell_angle_gamma 90.00
loop_
_atom_site_label
_atom_site_type_symbol
_atom_site_fract_x
_atom_site_fract_y
_atom_site_fract_z
_atom_site_occupancy
Sc1 Sc 0.000 0.000 0.000 1
Sc2 Sc 0.000 0.500 0.250 1
P1 P 0.000 0.000 0.500 1
Rh1 Rh 0.000 0.500 0.750 1
```


Record 12
This record from Alexandria describes a relaxed structure of PmCdHg2. The functional is PBEsol.

Energy of formation from the pure elements, meV/atom: -497
Total magnetic moment, μB per atom: 0.00

Geometry as CIF:
```
data_PmCdHg2
_symmetry_space_group_name_H-M 'F m -3 m'
_symmetry_Int_Tables_number 225
_symmetry_space_group_name_Hall '-F 4 2 3'
_cell_length_a 7.150
_cell_length_b 7.150
_cell_length_c 7.150
_cell_angle_alpha 90.00
_cell_angle_beta 90.00
_cell_angle_gamma 90.00
loop_
_atom_site_label
_atom_site_type_symbol
_atom_site_fract_x
_atom_site_fract_y
_atom_site_fract_z
_atom_site_occupancy
Pm1 Pm 0.000 0.000 0.000 1
Cd1 Cd 0.000 0.000 0.500 1
Hg1 Hg 0.250 0.250 0.250 1
```